## Be2SiI (GGA-PBE)

Data for Be2SiI after structural relaxation.

As for the raw formation energy: 1.1606 eV per atom. The distance to the lowest polymorph of the same formula is 0.722 eV per atom. The calculation puts the density of states at the Fermi level at 1.67 states/eV/f.u.

It has space group Fm-3m (No. 225), with a = 6.371 Å, b = 6.371 Å, c = 6.371 Å, α = 90.00°, β = 90.00° and γ = 90.00°. The asymmetric unit holds Be at (0.250, 0.250, 0.250), Si at (0.000, 0.000, 0.000) and I at (0.000, 0.000, 0.500).


## BeSi2I (GGA-PBE)

Data for BeSi2I after structural relaxation.

As for the raw formation energy: 0.1972 eV per atom. The distance to the lowest polymorph of the same formula is 0.089 eV per atom.

It has space group P1 (No. 1), with a = 3.948 Å, b = 3.978 Å, c = 12.308 Å, α = 85.53°, β = 88.85° and γ = 84.74°. The asymmetric unit holds Be at (0.000, 0.000, 0.000), Be at (0.382, 0.773, 0.859), Si at (0.211, 0.327, 0.756), Si at (0.486, 0.805, 0.672), Si at (0.898, 0.516, 0.909), Si at (0.967, 0.086, 0.610), I at (0.499, 0.943, 0.124) and I at (0.843, 0.404, 0.432).